The following is a PBE calculation of a relaxed structure of CaNiSn2, from Alexandria.

```
data_CaNiSn2
_cell_length_a 4.6592
_cell_length_b 6.9906
_cell_length_c 10.9860
_cell_angle_alpha 90.00
_cell_angle_beta 90.00
_cell_angle_gamma 90.00
_symmetry_space_group_name_H-M 'P 1'
_symmetry_Int_Tables_number 1
loop_
_symmetry_equiv_pos_as_xyz
'x,y,z'
loop_
_atom_site_label
_atom_site_type_symbol
_atom_site_fract_x
_atom_site_fract_y
_atom_site_fract_z
Ca1 Ca 0.7500 0.7751 0.6638
Ca2 Ca 0.2500 0.7249 0.1638
Ca3 Ca 0.2500 0.2249 0.3362
Ca4 Ca 0.7500 0.2751 0.8362
Ni1 Ni 0.7500 0.9149 0.3780
Ni2 Ni 0.2500 0.5851 0.8780
Ni3 Ni 0.2500 0.0851 0.6220
Ni4 Ni 0.7500 0.4149 0.1220
Sn1 Sn 0.7500 0.2070 0.5375
Sn2 Sn 0.2500 0.2930 0.0375
Sn3 Sn 0.2500 0.7930 0.4625
Sn4 Sn 0.7500 0.7070 0.9625
Sn5 Sn 0.7500 0.5468 0.3426
Sn6 Sn 0.2500 0.9532 0.8426
Sn7 Sn 0.2500 0.4532 0.6574
Sn8 Sn 0.7500 0.0468 0.1574
```

As for the formation energy: -1.7 eV/f.u. Its space group is No. 62. The calculated volume comes out at 22.364 Å³ per atom.